Arrangement w

Entry from Alexandria via LeMat-Bulk: an optimized crystal structure of Dy2SbS5 (GGA-PBE).

POSCAR file:
```
Dy2SbS5
1.0
5.276 0.000 0.000
-2.638 6.659 0.000
0.000 0.000 12.963
Dy Sb S
4 2 10
Cartesian
2.638 4.593 5.622
2.638 4.593 0.860
0.000 2.066 7.342
0.000 2.066 12.103
2.638 4.381 9.723
0.000 2.278 3.241
2.638 6.075 11.569
2.638 6.075 7.876
0.000 4.029 5.389
0.000 4.029 1.093
2.638 3.050 3.241
0.000 3.610 9.723
2.638 2.630 7.575
2.638 2.630 11.870
0.000 0.584 1.395
0.000 0.584 5.087
```

Output
* ρ: 4.427 g cm⁻³
* density of states at the Fermi level: 4.83 states/eV/cell
* space group: Cmcm (63)

Arrangement x

Entry from Alexandria via LeMat-Bulk: an optimized crystal structure of Dy2SbS5 (GGA-PBE).

POSCAR file:
```
Dy2SbS5
1.0
3.890 0.000 0.000
0.000 7.693 0.000
0.000 0.000 11.408
Dy Sb S
4 2 10
Cartesian
1.945 4.055 1.978
1.945 3.638 9.431
1.945 7.484 7.682
1.945 0.209 3.727
0.000 3.847 5.704
0.000 0.000 0.000
0.000 0.000 5.704
0.000 3.847 0.000
0.000 6.292 2.259
0.000 1.401 9.149
0.000 5.248 7.964
0.000 2.445 3.445
1.945 5.174 4.560
1.945 2.519 6.849
1.945 6.366 10.264
1.945 1.327 1.144
```

Output
* ρ: 5.905 g cm⁻³
* density of states at the Fermi level: 3.83 states/eV/cell
* space group: Pbam (55)

Quick one: most stable of them? arrangement x